No. 1
Computed, not measured: an optimized crystal structure of SrCd3Rh at the GGA-PBE level of DFT.

a = 6.028 Å, b = 6.028 Å, c = 6.028 Å
α = 90.00°, β = 90.00°, γ = 90.00°
Space group Pm-3m (No. 221)
One atom of each set of equivalent atoms:
Sr  0.000  0.000  0.000 x1
Cd  0.000  0.000  0.500 x3
Rh  0.500  0.500  0.500 x1

## Properties
Crystal system = cubic
Formation energy = 6.87 eV/f.u.
D(E_F) = 3.37 states/eV per atom
Energy = -0.982 eV per atom
ΔE to the lowest computed polymorph = 1.6241 eV per atom

=====

No. 2
Computed, not measured: an optimized crystal structure of YGe2Ru at the GGA-PBE level of DFT.

a = 6.771 Å, b = 4.267 Å, c = 11.071 Å
α = 90.00°, β = 90.00°, γ = 90.00°
Space group Pnma (No. 62)
One atom of each set of equivalent atoms:
Y  0.071  0.250  0.149 x4
Ge  0.161  0.250  0.737 x4
Ge  0.224  0.250  0.505 x4
Ru  0.122  0.750  0.414 x4

## Properties
Crystal system = orthorhombic
Formation energy = -1.79 eV/f.u.
D(E_F) = 0.73 states/eV per atom
Energy = -6.690 eV per atom

=====

No. 3
Computed, not measured: an optimized crystal structure of Sm9Tm2In at the GGA-PBE level of DFT.

a = 5.009 Å, b = 5.009 Å, c = 15.279 Å
α = 90.00°, β = 90.00°, γ = 90.00°
Space group P4/mmm (No. 123)
One atom of each set of equivalent atoms:
Sm  0.000  0.000  0.000 x1
Sm  0.000  0.000  0.331 x2
Sm  0.000  0.500  0.162 x4
Sm  0.000  0.500  0.500 x2
Tm  0.500  0.500  0.332 x2
In  0.500  0.500  0.000 x1

## Properties
Crystal system = tetragonal
Formation energy = -0.83 eV/f.u.
D(E_F) = 1.32 states/eV per atom
Energy = -4.582 eV per atom

=====

No. 4
Computed, not measured: an optimized crystal structure of RbLiAgAs at the GGA-PBE level of DFT.

a = 4.6030 Å, b = 4.6030 Å, c = 18.8577 Å
α = 90.00°, β = 90.00°, γ = 120.00°
Space group R3m (No. 160, hexagonal axes)
One atom of each set of equivalent atoms:
Rb  0.0000  0.0000  0.0000 x3
Li  0.0000  0.0000  0.4942 x3
Ag  0.0000  0.0000  0.1772 x3
As  0.0000  0.0000  0.8144 x3

## Properties
Crystal system = trigonal
Formation energy = -1.52 eV/f.u.
D(E_F) = 0.10 states/eV per atom
Energy = -2.975 eV per atom

=====

No. 5
Computed, not measured: an optimized crystal structure of Cs6MgO4 at the GGA-PBE level of DFT.

a = 10.2407 Å, b = 10.2407 Å, c = 7.0106 Å
α = 90.00°, β = 90.00°, γ = 120.00°
Space group P6_3mc (No. 186)
One atom of each set of equivalent atoms:
Cs  0.0920  0.5460  0.0000 x6
Cs  0.1528  0.3055  0.3770 x6
Mg  0.3333  0.6667  0.6018 x2
O  0.2231  0.4462  0.7078 x6
O  0.3333  0.6667  0.3134 x2

## Properties
E_form (uncorrected) = -1.207 eV/atom
Crystal system = hexagonal
Energy = -3.621 eV per atom

=====

No. 6
Computed, not measured: an optimized crystal structure of CsPrPbSe3 at the GGA-PBE level of DFT.

a = 9.327 Å, b = 4.381 Å, c = 12.158 Å
α = 90.00°, β = 107.96°, γ = 90.00°
Space group P2_1/m (No. 11)
One atom of each set of equivalent atoms:
Cs  0.227  0.250  0.257 x2
Pr  0.357  0.750  0.855 x2
Pb  0.150  0.250  0.574 x2
Se  0.118  0.250  0.794 x2
Se  0.353  0.750  0.602 x2
Se  0.416  0.750  0.107 x2

## Properties
E_form (uncorrected) = -1.290 eV/atom
Crystal system = monoclinic
Energy = -4.589 eV per atom

=====

No. 7
Computed, not measured: an optimized crystal structure of Mg3Ge4Pd4 at the GGA-PBE level of DFT.

a = 3.477 Å, b = 8.041 Å, c = 13.878 Å
α = 90.00°, β = 90.00°, γ = 90.00°
Space group Immm (No. 71)
One atom of each set of equivalent atoms:
Mg  0.000  0.000  0.000 x2
Mg  0.000  0.500  0.107 x4
Ge  0.000  0.297  0.329 x8
Pd  0.000  0.000  0.237 x4
Pd  0.000  0.203  0.500 x4

## Properties
Crystal system = orthorhombic
Formation energy = -5.02 eV/f.u.
D(E_F) = 0.30 states/eV per atom
Energy = -4.459 eV per atom

=====

No. 8
Computed, not measured: an optimized crystal structure of Ce2ScU at the GGA-PBE level of DFT.

a = 5.481 Å, b = 5.481 Å, c = 3.196 Å
α = 90.00°, β = 90.00°, γ = 90.00°
Space group P4/mmm (No. 123)
One atom of each set of equivalent atoms:
Ce  0.000  0.500  0.000 x2
Sc  0.000  0.000  0.500 x1
U  0.500  0.500  0.500 x1

## Properties
Crystal system = tetragonal
Formation energy = 1.02 eV/f.u.
D(E_F) = 2.58 states/eV per atom
Energy = -7.117 eV per atom

=====

No. 9
Computed, not measured: an optimized crystal structure of Rb3CoIr at the GGA-PBE level of DFT.

a = 6.360 Å, b = 6.360 Å, c = 6.360 Å
α = 90.00°, β = 90.00°, γ = 90.00°
Space group Pm-3m (No. 221)
One atom of each set of equivalent atoms:
Rb  0.000  0.000  0.500 x3
Co  0.500  0.500  0.500 x1
Ir  0.000  0.000  0.000 x1

## Properties
Crystal system = cubic
Formation energy = 6.34 eV/f.u.
D(E_F) = 7.16 states/eV per atom
Energy = -2.507 eV per atom
ΔE to the lowest computed polymorph = 0.0000 eV per atom

=====

No. 10
Computed, not measured: an optimized crystal structure of TmZrTe3 at the GGA-PBE level of DFT.

a = 7.1008 Å, b = 7.1008 Å, c = 22.5536 Å
α = 90.00°, β = 90.00°, γ = 120.00°
Space group R32 (No. 155, hexagonal axes)
One atom of each set of equivalent atoms:
Tm  0.0000  0.0000  0.1630 x6
Zr  0.0000  0.0000  0.3344 x6
Te  0.0092  0.3552  0.9185 x18

## Properties
E_form (uncorrected) = -0.890 eV/atom
Crystal system = trigonal
D(E_F) = 0.61 states/eV per atom
Energy = -5.379 eV per atom
ΔE to the lowest computed polymorph = 0.2028 eV per atom

=====

No. 11
Computed, not measured: an optimized crystal structure of LaReP2 at the GGA-PBE level of DFT.

a = 4.073 Å, b = 4.197 Å, c = 4.849 Å
α = 90.00°, β = 90.00°, γ = 90.00°
Space group Pmmm (No. 47)
One atom of each set of equivalent atoms:
La  0.000  0.000  0.000 x1
Re  0.000  0.500  0.500 x1
P  0.500  0.500  0.231 x2

## Properties
Crystal system = orthorhombic
Formation energy = -2.22 eV/f.u.
D(E_F) = 0.38 states/eV per atom
Energy = -7.603 eV per atom
ΔE to the lowest computed polymorph = 0.2399 eV per atom

=====

No. 12
Computed, not measured: an optimized crystal structure of Mg2TaCr at the GGA-PBE level of DFT.

a = 2.9900 Å, b = 2.9900 Å, c = 29.1579 Å
α = 90.00°, β = 90.00°, γ = 120.00°
Space group R3m (No. 160, hexagonal axes)
One atom of each set of equivalent atoms:
Mg  0.0000  0.0000  0.0000 x3
Mg  0.0000  0.0000  0.2400 x3
Ta  0.0000  0.0000  0.7538 x3
Cr  0.0000  0.0000  0.4921 x3

## Properties
Crystal system = trigonal
Formation energy = 1.44 eV/f.u.
D(E_F) = 0.81 states/eV per atom
Energy = -5.806 eV per atom
ΔE to the lowest computed polymorph = 0.0874 eV per atom